Record 1
Compound: AcYAsO5
Source: Alexandria
Functional: PBE-GGA
Structure: optimized geometry

Its raw formation energy is -2.54 eV per atom. Its magnetic moment is 0.8 μB per formula unit. Its calculated total energy is -7.5379 eV/atom.

The structure in POSCAR format:
```
AcYAsO5
1.0
6.141 0.188 -0.120
-1.613 5.929 -0.120
-2.028 -2.739 7.368
O As Ac Y
10 2 2 2
Direct
0.115 0.659 0.903
0.740 0.608 0.401
0.260 0.392 0.599
0.392 0.260 0.099
0.608 0.740 0.901
0.885 0.341 0.097
0.080 0.920 0.250
0.659 0.115 0.403
0.920 0.080 0.750
0.341 0.885 0.597
0.688 0.312 0.250
0.312 0.688 0.750
0.321 0.679 0.250
0.679 0.321 0.750
0.000 0.000 0.500
0.000 0.000 0.000
```

***

Record 2
Compound: Ac2YAsO6
Source: Alexandria
Functional: PBE-GGA
Structure: optimized geometry

Its raw formation energy is -2.74 eV per atom. Its magnetic moment is 0.0 μB per formula unit. Its calculated total energy is -7.6506 eV/atom.

The structure in POSCAR format:
```
Ac2YAsO6
1.0
6.085 0.039 0.042
0.042 6.022 0.005
3.096 3.033 4.275
O Ac Y As
6 2 1 1
Direct
0.746 0.633 0.113
0.679 0.188 0.997
0.254 0.367 0.887
0.321 0.812 0.003
0.814 0.813 0.509
0.186 0.187 0.491
0.248 0.770 0.479
0.752 0.230 0.521
0.000 0.000 0.000
0.500 0.500 0.000
```

***

Record 3
Compound: AcYAs2O8
Source: Alexandria
Functional: PBE-GGA
Structure: optimized geometry

Its raw formation energy is -2.32 eV per atom. Its magnetic moment is 0.0 μB per formula unit. Its calculated total energy is -7.2845 eV/atom.

The structure in POSCAR format:
```
AcYAs2O8
1.0
5.201 0.000 0.000
0.000 5.201 0.000
-2.600 -2.600 5.951
As O Ac Y
2 8 1 1
Direct
0.250 0.750 0.500
0.500 0.500 0.000
0.721 0.819 0.145
0.424 0.325 0.145
0.675 0.279 0.855
0.292 0.919 0.340
0.579 0.708 0.660
0.081 0.952 0.660
0.181 0.576 0.855
0.048 0.421 0.340
0.750 0.250 0.500
0.000 0.000 0.000
```

***

Record 4
Compound: AcZnAsO6
Source: Alexandria
Functional: PBE-GGA
Structure: optimized geometry

Its raw formation energy is -1.65 eV per atom. Its magnetic moment is 2.0 μB per formula unit. Its calculated total energy is -6.0730 eV/atom.

The structure in POSCAR format:
```
AcZnAsO6
1.0
-1.275 2.664 -4.435
-1.409 -4.437 -2.260
-3.472 2.765 2.659
O As Zn Ac
6 1 1 1
Direct
0.297 0.937 0.639
0.703 0.701 0.639
0.297 0.361 0.299
0.297 0.701 0.063
0.703 0.937 0.299
0.703 0.361 0.063
0.500 0.667 0.333
0.500 0.000 0.000
0.000 0.333 0.667
```

***

Record 5
Compound: Ac2ZnAsO6
Source: Alexandria
Functional: PBE-GGA
Structure: optimized geometry

Its raw formation energy is -2.27 eV per atom. Its magnetic moment is 0.0 μB per formula unit. Its calculated total energy is -6.6552 eV/atom.

The structure in POSCAR format:
```
Ac2ZnAsO6
1.0
4.025 0.000 0.000
0.000 5.739 0.000
0.000 0.000 5.739
Zn O Ac As
1 6 2 1
Direct
0.645 0.500 0.500
0.645 0.241 0.759
0.645 0.759 0.759
0.645 0.759 0.241
0.145 0.500 0.500
0.144 0.000 0.000
0.645 0.241 0.241
0.145 0.000 0.500
0.145 0.500 0.000
0.645 0.000 0.000
```

***

Record 6
Compound: AcZnAsO
Source: Alexandria
Functional: PBE-GGA
Structure: optimized geometry

Its raw formation energy is -1.78 eV per atom. Its magnetic moment is 0.0 μB per formula unit. Its calculated total energy is -5.5304 eV/atom.

The structure in POSCAR format:
```
AcZnAsO
1.0
4.216 0.000 0.000
-2.108 3.651 0.000
0.000 0.000 11.157
O As Zn Ac
2 2 2 2
Direct
0.000 0.000 0.483
0.000 0.000 0.983
0.667 0.333 0.730
0.333 0.667 0.230
0.000 0.000 0.169
0.000 0.000 0.669
0.333 0.667 0.931
0.667 0.333 0.431
```

***

Record 7
Compound: Ac3Zn2AsO9
Source: Alexandria
Functional: PBE-GGA
Structure: optimized geometry

Its raw formation energy is -2.37 eV per atom. Its magnetic moment is 0.0 μB per formula unit. Its calculated total energy is -6.6462 eV/atom.

The structure in POSCAR format:
```
Ac3Zn2AsO9
1.0
-5.608 0.899 0.238
2.485 -3.465 3.759
1.039 5.361 4.254
Ac Zn O As
3 2 9 1
Direct
0.667 0.333 0.307
0.000 0.000 0.000
0.333 0.667 0.693
0.667 0.333 0.831
0.333 0.667 0.169
0.845 0.691 0.656
0.000 0.500 0.000
0.155 0.309 0.344
0.309 0.155 0.656
0.845 0.155 0.656
0.691 0.845 0.344
0.155 0.845 0.344
0.500 0.000 0.000
0.500 0.500 0.000
0.000 0.000 0.500
```

***

Record 8
Compound: Ac2ZnAs2O2
Source: Alexandria
Functional: PBE-GGA
Structure: optimized geometry

Its raw formation energy is -1.62 eV per atom. Its magnetic moment is 0.0 μB per formula unit. Its calculated total energy is -5.7223 eV/atom.

The structure in POSCAR format:
```
Ac2ZnAs2O2
1.0
4.160 0.000 0.000
-2.080 3.602 0.000
0.000 0.000 12.403
O Ac Zn As
2 2 1 2
Direct
0.667 0.333 0.576
0.333 0.667 0.424
0.667 0.333 0.369
0.333 0.667 0.631
0.000 0.000 0.000
0.000 0.000 0.815
0.000 0.000 0.185
```

***

Record 9
Compound: AcZrAsO5
Source: Alexandria
Functional: PBE-GGA
Structure: optimized geometry

Its raw formation energy is -2.63 eV per atom. Its magnetic moment is 0.0 μB per formula unit. Its calculated total energy is -7.8876 eV/atom.

The structure in POSCAR format:
```
AcZrAsO5
1.0
6.067 0.341 -0.291
-1.445 5.902 -0.291
-2.271 -3.068 7.504
O As Ac Zr
10 2 2 2
Direct
0.373 0.245 0.126
0.110 0.679 0.937
0.890 0.321 0.063
0.627 0.755 0.874
0.755 0.627 0.374
0.245 0.373 0.626
0.321 0.890 0.563
0.963 0.037 0.750
0.679 0.110 0.437
0.037 0.963 0.250
0.699 0.301 0.250
0.301 0.699 0.750
0.311 0.689 0.250
0.689 0.311 0.750
0.000 0.000 0.000
0.000 0.000 0.500
```

***

Record 10
Compound: AcZrAsO2
Source: Alexandria
Functional: PBE-GGA
Structure: optimized geometry

Its raw formation energy is -2.63 eV per atom. Its magnetic moment is 0.0 μB per formula unit. Its calculated total energy is -8.0712 eV/atom.

The structure in POSCAR format:
```
AcZrAsO2
1.0
3.972 0.000 0.000
-1.986 6.247 0.000
0.000 0.000 7.473
O Ac Zr As
4 2 2 2
Direct
0.837 0.675 0.448
0.163 0.325 0.948
0.837 0.675 0.052
0.163 0.325 0.552
0.728 0.455 0.750
0.272 0.545 0.250
0.000 0.000 0.000
0.000 0.000 0.500
0.459 0.917 0.750
0.541 0.083 0.250
```

***

Record 11
Compound: Ac2ZrAs2O2
Source: Alexandria
Functional: PBE-GGA
Structure: optimized geometry

Its raw formation energy is -2.19 eV per atom. Its magnetic moment is 0.0 μB per formula unit. Its calculated total energy is -7.3303 eV/atom.

The structure in POSCAR format:
```
Ac2ZrAs2O2
1.0
4.370 0.000 0.000
0.000 4.370 0.000
-2.185 -2.185 8.035
Ac O As Zr
2 2 2 1
Direct
0.632 0.632 0.265
0.368 0.368 0.735
0.500 0.000 0.000
0.000 0.500 0.000
0.171 0.171 0.342
0.829 0.829 0.658
0.000 0.000 0.000
```

***

Record 12
Compound: Ac12As3Os5
Source: Alexandria
Functional: PBE-GGA
Structure: optimized geometry

Its magnetic moment is 0.0 μB per formula unit. The energy of formation comes out at -115.6 meV per atom. Its calculated total energy is -6.0856 eV/atom.

The structure in POSCAR format:
```
Ac12As3Os5
1.0
15.616 0.000 0.000
-5.205 14.723 0.000
-5.205 -7.362 12.751
As Ac Os
12 48 20
Direct
0.250 0.625 0.875
0.750 0.375 0.125
0.125 0.875 0.750
0.125 0.250 0.875
0.625 0.250 0.375
0.375 0.750 0.625
0.750 0.875 0.625
0.375 0.625 0.250
0.875 0.750 0.125
0.250 0.125 0.375
0.875 0.125 0.250
0.625 0.375 0.750
0.468 0.677 0.093
0.407 0.032 0.323
0.291 0.416 0.823
0.584 0.875 0.407
0.968 0.593 0.177
0.968 0.375 0.291
0.125 0.416 0.093
0.532 0.323 0.907
0.625 0.593 0.916
0.375 0.407 0.084
0.375 0.968 0.791
0.125 0.709 0.532
0.791 0.468 0.375
0.032 0.625 0.709
0.093 0.177 0.468
0.084 0.907 0.375
0.677 0.468 0.593
0.093 0.916 0.125
0.709 0.584 0.177
0.875 0.584 0.907
0.916 0.093 0.625
0.791 0.323 0.916
0.416 0.125 0.593
0.468 0.791 0.875
0.032 0.407 0.823
0.177 0.093 0.968
0.291 0.875 0.968
0.907 0.823 0.532
0.532 0.209 0.125
0.907 0.084 0.875
0.593 0.968 0.677
0.584 0.709 0.677
0.823 0.907 0.032
0.407 0.375 0.584
0.593 0.625 0.416
0.209 0.532 0.625
0.709 0.125 0.032
0.823 0.916 0.291
0.625 0.032 0.209
0.677 0.209 0.584
0.323 0.791 0.416
0.084 0.177 0.209
0.875 0.291 0.468
0.209 0.677 0.084
0.916 0.823 0.791
0.323 0.532 0.407
0.416 0.291 0.323
0.177 0.084 0.709
0.000 0.000 0.000
0.750 0.625 0.375
0.875 0.250 0.625
0.500 0.000 0.500
0.750 0.125 0.875
0.375 0.125 0.750
0.000 0.500 0.500
0.500 0.500 0.000
0.125 0.375 0.250
0.000 0.500 0.000
0.250 0.875 0.125
0.375 0.250 0.125
0.875 0.625 0.750
0.000 0.000 0.500
0.500 0.500 0.500
0.625 0.875 0.250
0.250 0.375 0.625
0.500 0.000 0.000
0.125 0.750 0.375
0.625 0.750 0.875
```